# 1
Entry from Alexandria: Ba3ErPt2O6 after structural relaxation (GGA-PBE).

SG: No. 164
formation energy without anion corrections: -21.3 eV/f.u.

a = 5.980 Å, b = 5.980 Å, c = 6.965 Å
α = 90.00°, β = 90.00°, γ = 120.00°
Positions (direct):
Ba  0.333  0.667  0.652
Ba  0.667  0.333  0.348
Ba  0.000  0.000  0.000
Er  0.000  0.000  0.500
Pt  0.667  0.333  0.860
Pt  0.333  0.667  0.140
O  0.662  0.831  0.311
O  0.169  0.338  0.311
O  0.169  0.831  0.311
O  0.831  0.662  0.689
O  0.338  0.169  0.689
O  0.831  0.169  0.689


# 2
Entry from Alexandria: Li2TcSb after structural relaxation (GGA-PBE).

SG: No. 99
formation energy without anion corrections: -0.2 eV/f.u.

a = 3.398 Å, b = 3.397 Å, c = 6.733 Å
α = 59.71°, β = 90.00°, γ = 90.00°
Positions (direct):
Li  0.000  0.003  0.997
Li  0.500  0.263  0.237
Sb  0.000  0.473  0.527
Tc  0.500  0.761  0.739


# 3
Entry from Alexandria: Rb4LaNp3O12 after structural relaxation (GGA-PBE).

SG: No. 229
formation energy without anion corrections: -53.9 eV/f.u.

a = 7.600 Å, b = 7.600 Å, c = 7.600 Å
α = 109.47°, β = 109.47°, γ = 109.47°
Each line ends with the local moment (μB).
Positions (direct):
Rb  0.500  0.500  0.500  0.00
Rb  0.000  0.000  0.500  0.00
Rb  0.500  0.000  0.000  0.00
Rb  0.000  0.500  0.000  0.00
La  0.000  0.000  0.000  -0.02
Np  0.500  0.000  0.500  1.58
Np  0.500  0.500  0.000  1.58
Np  0.000  0.500  0.500  1.58
O  0.250  0.500  0.750  -0.07
O  0.727  0.000  0.727  -0.05
O  0.273  0.000  0.273  -0.05
O  0.750  0.500  0.250  -0.07
O  0.727  0.727  0.000  -0.05
O  0.273  0.273  0.000  -0.05
O  0.750  0.250  0.500  -0.07
O  0.250  0.750  0.500  -0.07
O  0.500  0.250  0.750  -0.07
O  0.000  0.727  0.727  -0.05
O  0.500  0.750  0.250  -0.07
O  0.000  0.273  0.273  -0.05


# 4
Entry from Alexandria: Tm5Sb4Te after structural relaxation (GGA-PBE).

SG: No. 71
formation energy without anion corrections: -11.2 eV/f.u.

a = 4.334 Å, b = 6.122 Å, c = 11.469 Å
α = 105.48°, β = 100.89°, γ = 90.00°
Positions (direct):
Tm  0.605  0.105  0.209
Tm  0.801  0.301  0.602
Tm  0.199  0.699  0.398
Tm  0.000  0.500  0.000
Tm  0.395  0.895  0.791
Sb  0.401  0.401  0.802
Sb  0.799  0.799  0.598
Sb  0.201  0.201  0.402
Sb  0.599  0.599  0.198
Te  0.000  0.000  0.000


# 5
Entry from Alexandria: Al2VW after structural relaxation (GGA-PBE).

SG: No. 123

a = 4.104 Å, b = 3.803 Å, c = 3.803 Å
α = 90.00°, β = 90.00°, γ = 90.00°
Positions (direct):
Al  0.000  0.000  0.500
Al  0.000  0.500  0.000
W  0.500  0.500  0.500
V  0.500  0.000  0.000


# 6
Entry from Alexandria: TmBRh3 after structural relaxation (GGA-PBE).

SG: No. 221

a = 4.183 Å, b = 4.183 Å, c = 4.183 Å
α = 90.00°, β = 90.00°, γ = 90.00°
Positions (direct):
Tm  0.000  0.000  0.000
B  0.500  0.500  0.500
Rh  0.000  0.500  0.500
Rh  0.500  0.500  0.000
Rh  0.500  0.000  0.500


no.,V (Å³ per atom),VASP energy (eV per atom)
1,17.97,-6.119
2,16.78,-4.624
3,16.90,-8.049
4,28.76,-5.324
5,14.84,-7.490
6,14.64,-7.468